Entry 1:
{
  "formula": "Ni2Pd6Au",
  "functional": "GGA-PBE",
  "state": "optimized geometry",
  "lattice_angstrom": [[4.399, -1.968, 0.000], [4.399, 1.968, 0.000], [-2.902, 0.000, 7.718]],
  "species": ["Ni", "Ni", "Pd", "Pd", "Pd", "Pd", "Pd", "Pd", "Au"],
  "fractional_positions": [[0.157, 0.157, 0.055], [0.843, 0.843, 0.945], [0.160, 0.160, 0.379], [0.185, 0.185, 0.744], [0.480, 0.480, 0.151], [0.520, 0.520, 0.849], [0.815, 0.815, 0.256], [0.840, 0.840, 0.621], [0.500, 0.500, 0.500]],
  "dos_ef_per_ev_cell": 13.8,
  "polymorph_energy_ev_per_atom": 0.000
}

Entry 2:
{
  "formula": "NiPd8Au6",
  "functional": "GGA-PBE",
  "state": "optimized geometry",
  "lattice_angstrom": [[7.634, 0.000, 0.000], [-3.817, 6.611, 0.000], [0.000, 0.000, 5.013]],
  "species": ["Ni", "Pd", "Pd", "Pd", "Pd", "Pd", "Pd", "Pd", "Pd", "Au", "Au", "Au", "Au", "Au", "Au"],
  "fractional_positions": [[0.000, 0.000, 0.000], [0.051, 0.268, 0.295], [0.216, 0.949, 0.295], [0.268, 0.216, 0.705], [0.333, 0.667, 0.281], [0.667, 0.333, 0.719], [0.732, 0.784, 0.295], [0.784, 0.051, 0.705], [0.949, 0.732, 0.705], [0.099, 0.464, 0.783], [0.365, 0.901, 0.783], [0.464, 0.365, 0.217], [0.536, 0.635, 0.783], [0.635, 0.099, 0.217], [0.901, 0.536, 0.217]],
  "dos_ef_per_ev_cell": 13.6,
  "polymorph_energy_ev_per_atom": 0.000
}